Ag2IrAu | GGA-PBEsol | optimized geometry

Output
The density of states at the Fermi level comes out at 3.40 states/eV per cell. The final energy is -4.7968 eV/atom. The value obtained for the energy relative to the elements is 1.18 eV per formula unit.

Unit cell a=2.705 b=4.099 c=5.743 alpha=90.00 beta=90.00 gamma=90.00
Space group Pmm2 (No. 25)
Asymmetric unit:
Ag1 0.000 0.000 0.000
Ag2 0.500 0.500 0.250
Ir1 0.500 0.500 0.751
Au1 0.000 0.000 0.512